1.
DFT (PBE-GGA) results for an optimized crystal structure of HoPaCo2.

The structure in POSCAR format:
```
HoPaCo2
1.0
5.1518 0.0000 0.0000
0.0000 4.2900 0.0000
-2.3598 0.0000 6.7389
Ho Pa Co
2 2 4
Cartesian
0.2163 1.0725 2.9365
2.5756 3.2175 3.8024
-1.1261 1.0725 6.1371
3.9180 3.2175 0.6019
1.2463 3.2175 1.0012
-0.0572 3.2175 5.1418
2.8492 1.0725 1.5972
1.5456 1.0725 5.7377
```

Calculated values
* formation enthalpy at 0 K: -0.3878 eV per atom
* total moment: 0.0000 μB per atom
* excess energy over the best structure of this formula in the dataset: 0.000 eV/atom
* Fermi-level density of states: 2.246 states/eV/f.u.
* space group: No. 11


2.
DFT (PBE-GGA) results for an optimized crystal structure of HoPaCo3.

The structure in POSCAR format:
```
HoPaCo3
1.0
1.8947 -11.3750 0.0000
1.8947 11.3750 0.0000
0.0000 0.0000 4.0096
Ho Pa Co
2 2 6
Cartesian
1.8947 9.7876 3.0072
1.8947 -9.7876 1.0024
1.8947 6.8137 1.0024
1.8947 -6.8137 3.0072
1.8947 4.2675 1.0024
1.8947 2.8429 3.0072
1.8947 0.5508 3.0072
1.8947 -0.5508 1.0024
1.8947 -2.8429 1.0024
1.8947 -4.2675 3.0072
```

Calculated values
* formation enthalpy at 0 K: -0.3008 eV per atom
* total moment: 0.0532 μB per atom
* excess energy over the best structure of this formula in the dataset: 0.000 eV/atom
* Fermi-level density of states: 4.531 states/eV/f.u.
* space group: No. 63


3.
DFT (PBE-GGA) results for an optimized crystal structure of Ho3PaCo3.

The structure in POSCAR format:
```
Ho3PaCo3
1.0
6.0959 -1.8448 0.0000
6.0959 1.8448 0.0000
-6.0634 0.0000 13.0594
Ho Pa Co
6 2 6
Cartesian
-0.6016 0.0000 1.7611
-1.4267 0.0000 5.5082
-1.4008 0.0000 9.0650
7.5291 0.0000 3.9944
7.5550 0.0000 7.5511
6.7299 0.0000 11.2983
2.7599 0.0000 1.4288
3.3684 0.0000 11.6305
-1.2668 0.0000 12.5761
2.4060 0.0000 5.6220
3.7360 0.0000 3.4244
2.3923 0.0000 9.6349
3.7223 0.0000 7.4374
7.3951 0.0000 0.4832
```

Calculated values
* formation enthalpy at 0 K: -0.2524 eV per atom
* total moment: 0.0000 μB per atom
* Fermi-level density of states: 5.316 states/eV/f.u.
* space group: No. 12


4.
DFT (PBE-GGA) results for an optimized crystal structure of Ho5PaCo4.

The structure in POSCAR format:
```
Ho5PaCo4
1.0
8.0890 -2.1038 0.0000
8.0890 2.1038 0.0000
-2.3021 0.0000 6.5223
Ho Pa Co
5 1 4
Cartesian
0.0000 0.0000 0.0000
3.0973 0.0000 6.1690
4.3589 0.0000 2.9069
9.5169 0.0000 3.6154
10.7786 0.0000 0.3532
-1.1511 0.0000 3.2611
0.4427 0.0000 5.1234
7.2123 0.0000 1.8711
6.6635 0.0000 4.6512
13.4331 0.0000 1.3989
```

Calculated values
* formation enthalpy at 0 K: -0.2550 eV per atom
* total moment: 0.0000 μB per atom
* Fermi-level density of states: 7.733 states/eV/f.u.
* space group: No. 12


5.
DFT (PBE-GGA) results for an optimized crystal structure of Pm2HoPa2Co5.

The structure in POSCAR format:
```
Pm2HoPa2Co5
1.0
10.6061 0.0000 0.0000
0.0000 10.6061 0.0000
0.0000 0.0000 3.4734
Pm Ho Pa Co
4 2 4 10
Cartesian
1.8389 3.4642 0.0000
3.4642 8.7672 0.0000
7.1420 1.8389 0.0000
8.7672 7.1420 0.0000
0.0000 0.0000 0.0000
5.3031 5.3031 0.0000
1.4249 6.7280 0.0000
3.8781 1.4249 0.0000
6.7280 9.1812 0.0000
9.1812 3.8781 0.0000
0.0000 5.3031 1.7367
0.4508 8.2420 1.7367
2.3641 0.4508 1.7367
2.9390 5.7538 1.7367
4.8523 2.9390 1.7367
5.3031 0.0000 1.7367
5.7538 7.6671 1.7367
7.6671 4.8523 1.7367
8.2420 10.1553 1.7367
10.1553 2.3641 1.7367
```

Calculated values
* formation enthalpy at 0 K: -0.1095 eV per atom
* total moment: 0.0000 μB per atom
* Fermi-level density of states: 5.400 states/eV/f.u.
* space group: No. 127


6.
DFT (PBE-GGA) results for an optimized crystal structure of HoPaCoRh.

The structure in POSCAR format:
```
HoPaCoRh
1.0
3.8931 0.0000 0.0000
0.0000 1.8284 5.6151
0.0000 -1.8284 5.6151
Ho Pa Co Rh
1 1 1 1
Cartesian
0.0000 0.0000 0.0000
1.9465 0.0000 3.0715
0.0000 0.0000 8.4015
1.9465 0.0000 6.4338
```

Calculated values
* formation enthalpy at 0 K: -0.5889 eV per atom
* total moment: 0.0000 μB per atom
* excess energy over the best structure of this formula in the dataset: 0.000 eV/atom
* Fermi-level density of states: 2.840 states/eV/f.u.
* space group: No. 38


7.
DFT (PBE-GGA) results for an optimized crystal structure of HoPaCoRh.

The structure in POSCAR format:
```
HoPaCoRh
1.0
0.0000 3.3886 3.3886
3.3886 0.0000 3.3886
3.3886 3.3886 0.0000
Ho Pa Co Rh
1 1 1 1
Cartesian
0.0000 0.0000 0.0000
3.3886 3.3886 3.3886
5.0829 5.0829 5.0829
1.6943 1.6943 1.6943
```

Calculated values
* formation enthalpy at 0 K: -0.3891 eV per atom
* total moment: 0.0002 μB per atom
* excess energy over the best structure of this formula in the dataset: 0.200 eV/atom
* Fermi-level density of states: 6.317 states/eV/f.u.
* space group: No. 216


8.
DFT (PBE-GGA) results for an optimized crystal structure of HoPaCoRu.

The structure in POSCAR format:
```
HoPaCoRu
1.0
0.0000 3.3739 3.3739
3.3739 0.0000 3.3739
3.3739 3.3739 0.0000
Ho Pa Co Ru
1 1 1 1
Cartesian
0.0000 0.0000 0.0000
3.3739 3.3739 3.3739
5.0608 5.0608 5.0608
1.6869 1.6869 1.6869
```

Calculated values
* formation enthalpy at 0 K: -0.2607 eV per atom
* total moment: 0.0005 μB per atom
* Fermi-level density of states: 4.592 states/eV/f.u.
* space group: No. 216


9.
DFT (PBE-GGA) results for an optimized crystal structure of Ho2ScPaCo2.

The structure in POSCAR format:
```
Ho2ScPaCo2
1.0
-3.2307 6.2624 3.2996
3.2307 -6.2624 3.2996
3.2307 6.2624 -3.2996
Ho Sc Pa Co
4 2 2 4
Cartesian
1.6113 2.4425 0.0000
1.6113 -2.4425 3.2996
1.6194 8.7048 0.0000
1.6194 3.8199 3.2996
3.2307 0.0000 1.6498
0.0000 6.2624 1.6498
0.0000 0.0000 1.6498
0.0000 0.0000 4.9494
5.0140 1.1266 0.0000
1.7833 5.1357 0.0000
1.4474 1.1266 3.2996
-1.7833 5.1357 3.2996
```

Calculated values
* formation enthalpy at 0 K: -0.2248 eV per atom
* total moment: 0.0000 μB per atom
* Fermi-level density of states: 6.705 states/eV/f.u.
* space group: No. 72


10.
DFT (PBE-GGA) results for an optimized crystal structure of Tb2HoPaCo2.

The structure in POSCAR format:
```
Tb2HoPaCo2
1.0
-3.4038 6.3082 3.3590
3.4038 -6.3082 3.3590
3.4038 6.3082 -3.3590
Tb Ho Pa Co
4 2 2 4
Cartesian
1.4120 2.5288 0.0000
1.4120 -2.5288 3.3590
1.9917 8.8369 0.0000
1.9917 3.7794 3.3590
3.4038 0.0000 1.6795
0.0000 6.3082 1.6795
0.0000 0.0000 1.6795
0.0000 0.0000 5.0385
5.3934 1.1214 0.0000
1.9896 5.1867 0.0000
1.4142 1.1214 3.3590
-1.9896 5.1867 3.3590
```

Calculated values
* formation enthalpy at 0 K: -0.1986 eV per atom
* total moment: 0.0000 μB per atom
* Fermi-level density of states: 6.465 states/eV/f.u.
* space group: No. 72


11.
DFT (PBE-GGA) results for an optimized crystal structure of Ho2ThPaCo2.

The structure in POSCAR format:
```
Ho2ThPaCo2
1.0
-3.5300 6.0431 3.4666
3.5300 -6.0431 3.4666
3.5300 6.0431 -3.4666
Ho Th Pa Co
4 2 2 4
Cartesian
1.3986 2.4726 0.0000
4.9286 3.5704 0.0000
-1.3986 2.4726 3.4666
2.1314 3.5704 3.4666
3.5300 0.0000 1.7333
0.0000 6.0431 1.7333
0.0000 0.0000 1.7333
0.0000 0.0000 5.1999
5.5166 0.9201 0.0000
1.9866 5.1230 0.0000
1.5434 0.9201 3.4666
-1.9866 5.1230 3.4666
```

Calculated values
* formation enthalpy at 0 K: -0.1890 eV per atom
* total moment: 0.0000 μB per atom
* Fermi-level density of states: 4.424 states/eV/f.u.
* space group: No. 72


12.
DFT (PBE-GGA) results for an optimized crystal structure of Ho2TmPa2Co5.

The structure in POSCAR format:
```
Ho2TmPa2Co5
1.0
10.4429 0.0000 0.0000
0.0000 10.4429 0.0000
0.0000 0.0000 3.4399
Ho Tm Pa Co
4 2 4 10
Cartesian
1.7764 3.4451 0.0000
3.4451 8.6666 0.0000
6.9978 1.7764 0.0000
8.6666 6.9978 0.0000
0.0000 0.0000 0.0000
5.2215 5.2215 0.0000
1.4272 6.6487 0.0000
3.7943 1.4272 0.0000
6.6487 9.0157 0.0000
9.0157 3.7943 0.0000
0.0000 5.2215 1.7200
0.4153 8.1296 1.7200
2.3134 0.4153 1.7200
2.9081 5.6368 1.7200
4.8062 2.9081 1.7200
5.2215 0.0000 1.7200
5.6368 7.5348 1.7200
7.5348 4.8062 1.7200
8.1296 10.0277 1.7200
10.0277 2.3134 1.7200
```

Calculated values
* formation enthalpy at 0 K: -0.1528 eV per atom
* total moment: 0.0000 μB per atom
* Fermi-level density of states: 5.012 states/eV/f.u.
* space group: No. 127